First-principles (GGA-PBE) data for a geometry-optimized Ti3Mo structure, as listed in Alexandria via LeMat-Bulk.

E_form ... -0.028 eV per formula unit
DOS at the Fermi energy ... 9.31 states/eV per cell

```
Ti3Mo
1.0
5.6105 0.0000 3.2349
2.3979 4.4444 2.3240
0.5687 -0.6077 5.4965
Ti Mo
6 2
Cartesian
3.6904 3.0512 6.5650 Ti
3.3974 3.1027 3.8318 Ti
5.1796 0.7340 7.2236 Ti
2.3744 0.7340 5.6061 Ti
6.2026 3.1027 5.4493 Ti
4.8866 0.7855 4.4904 Ti
2.1062 0.8541 2.8299 Mo
6.4708 2.9827 8.2255 Mo
```